a:
# PBE NiIr4Ru, optimized geometry
data_NiIr4Ru
_cell_length_a 7.215
_cell_length_b 7.215
_cell_length_c 7.215
_cell_angle_alpha 90.00
_cell_angle_beta 90.00
_cell_angle_gamma 90.00
_space_group_name_H-M_alt 'F -4 3 m'
_space_group_IT_number 216
_space_group_name_Hall 'F -4 2 3'
loop_
_atom_site_label
_atom_site_fract_x
_atom_site_fract_y
_atom_site_fract_z
Ni1 0.000 0.000 0.000
Ir1 0.125 0.125 0.375
Ru1 0.250 0.250 0.750
# D(E_F) ... 11.78 states/eV/f.u.

b:
# PBE NiIr4Ru, optimized geometry
data_NiIr4Ru
_cell_length_a 2.723
_cell_length_b 3.806
_cell_length_c 8.054
_cell_angle_alpha 90.00
_cell_angle_beta 90.00
_cell_angle_gamma 90.00
_space_group_name_H-M_alt 'P m m m'
_space_group_IT_number 47
_space_group_name_Hall '-P 2 2'
loop_
_atom_site_label
_atom_site_fract_x
_atom_site_fract_y
_atom_site_fract_z
Ni1 0.000 0.000 0.000
Ir1 0.000 0.000 0.330
Ir2 0.500 0.500 0.162
Ru1 0.500 0.500 0.500
# D(E_F) ... 6.88 states/eV/f.u.

c:
# PBE NiIr4Ru, optimized geometry
data_NiIr4Ru
_cell_length_a 8.687
_cell_length_b 10.440
_cell_length_c 4.865
_cell_angle_alpha 90.00
_cell_angle_beta 123.11
_cell_angle_gamma 90.00
_space_group_name_H-M_alt 'C 1 2/m 1'
_space_group_IT_number 12
_space_group_name_Hall '-C 2y'
loop_
_atom_site_label
_atom_site_fract_x
_atom_site_fract_y
_atom_site_fract_z
Ni1 0.067 0.000 0.310
Ir1 0.000 0.199 0.500
Ir2 0.069 0.500 0.316
Ir3 0.248 0.370 0.885
Ru1 0.000 0.286 0.000
# D(E_F) ... 7.67 states/eV/f.u.

Energies relative to the most stable structure, in meV per atom: a 681; b 0; c 439.

a:
# PBE NiIr6Ru2, optimized geometry
data_NiIr6Ru2
_cell_length_a 8.372
_cell_length_b 4.230
_cell_length_c 7.553
_cell_angle_alpha 90.00
_cell_angle_beta 96.86
_cell_angle_gamma 90.00
_space_group_name_H-M_alt 'C 1 2/m 1'
_space_group_IT_number 12
_space_group_name_Hall '-C 2y'
loop_
_atom_site_label
_atom_site_fract_x
_atom_site_fract_y
_atom_site_fract_z
Ni1 0.000 0.000 0.000
Ir1 0.078 0.000 0.660
Ir2 0.169 0.500 0.056
Ir3 0.229 0.000 0.261
Ru1 0.119 0.500 0.411
# D(E_F) ... 9.16 states/eV/f.u.

b:
# PBE NiIr6Ru2, optimized geometry
data_NiIr6Ru2
_cell_length_a 8.583
_cell_length_b 3.826
_cell_length_c 8.134
_cell_angle_alpha 90.00
_cell_angle_beta 108.51
_cell_angle_gamma 90.00
_space_group_name_H-M_alt 'C 1 2/m 1'
_space_group_IT_number 12
_space_group_name_Hall '-C 2y'
loop_
_atom_site_label
_atom_site_fract_x
_atom_site_fract_y
_atom_site_fract_z
Ni1 0.000 0.000 0.000
Ir1 0.000 0.000 0.331
Ir2 0.167 0.500 0.893
Ir3 0.171 0.500 0.559
Ru1 0.168 0.500 0.219
# D(E_F) ... 8.07 states/eV/f.u.

Energies relative to the most stable structure, in meV per atom: a 250; b 0.

a:
# PBE TaNiIrRu, optimized geometry
data_TaNiIrRu
_cell_length_a 3.738
_cell_length_b 3.861
_cell_length_c 3.939
_cell_angle_alpha 90.00
_cell_angle_beta 90.00
_cell_angle_gamma 90.00
_space_group_name_H-M_alt 'P m m m'
_space_group_IT_number 47
_space_group_name_Hall '-P 2 2'
loop_
_atom_site_label
_atom_site_fract_x
_atom_site_fract_y
_atom_site_fract_z
Ta1 0.000 0.000 0.000
Ni1 0.000 0.500 0.500
Ir1 0.500 0.000 0.500
Ru1 0.500 0.500 0.000
# D(E_F) ... 2.34 states/eV/f.u.

b:
# PBE TaNiIrRu, optimized geometry
data_TaNiIrRu
_cell_length_a 6.149
_cell_length_b 6.149
_cell_length_c 6.149
_cell_angle_alpha 90.00
_cell_angle_beta 90.00
_cell_angle_gamma 90.00
_space_group_name_H-M_alt 'F -4 3 m'
_space_group_IT_number 216
_space_group_name_Hall 'F -4 2 3'
loop_
_atom_site_label
_atom_site_fract_x
_atom_site_fract_y
_atom_site_fract_z
Ta1 0.000 0.000 0.000
Ni1 0.000 0.000 0.500
Ir1 0.250 0.250 0.750
Ru1 0.250 0.250 0.250
# D(E_F) ... 6.08 states/eV/f.u.

Energies relative to the most stable structure, in meV per atom: a 0; b 213.

a:
# PBE VNiIrRu, optimized geometry
data_VNiIrRu
_cell_length_a 3.588
_cell_length_b 3.789
_cell_length_c 3.850
_cell_angle_alpha 90.00
_cell_angle_beta 90.00
_cell_angle_gamma 90.00
_space_group_name_H-M_alt 'P m m m'
_space_group_IT_number 47
_space_group_name_Hall '-P 2 2'
loop_
_atom_site_label
_atom_site_fract_x
_atom_site_fract_y
_atom_site_fract_z
V1 0.000 0.000 0.000
Ni1 0.000 0.500 0.500
Ir1 0.500 0.000 0.500
Ru1 0.500 0.500 0.000
# D(E_F) ... 2.55 states/eV/f.u.

b:
# PBE VNiIrRu, optimized geometry
data_VNiIrRu
_cell_length_a 5.955
_cell_length_b 5.955
_cell_length_c 5.955
_cell_angle_alpha 90.00
_cell_angle_beta 90.00
_cell_angle_gamma 90.00
_space_group_name_H-M_alt 'F -4 3 m'
_space_group_IT_number 216
_space_group_name_Hall 'F -4 2 3'
loop_
_atom_site_label
_atom_site_fract_x
_atom_site_fract_y
_atom_site_fract_z
V1 0.000 0.000 0.000
Ni1 0.000 0.000 0.500
Ir1 0.250 0.250 0.750
Ru1 0.250 0.250 0.250
# D(E_F) ... 5.39 states/eV/f.u.

Energies relative to the most stable structure, in meV per atom: a 0; b 145.

a:
# PBE Ni6SbIr, optimized geometry
data_Ni6SbIr
_cell_length_a 4.6996
_cell_length_b 4.6996
_cell_length_c 19.8702
_cell_angle_alpha 90.00
_cell_angle_beta 90.00
_cell_angle_gamma 120.00
_space_group_name_H-M_alt 'R -3 m'
_space_group_IT_number 166
_space_group_name_Hall '-R 3 2"'
loop_
_atom_site_label
_atom_site_fract_x
_atom_site_fract_y
_atom_site_fract_z
Ni1 0.0035 0.5018 0.4400
Sb1 0.0000 0.0000 0.0000
Ir1 0.0000 0.0000 0.5000
# D(E_F) ... 10.87 states/eV/f.u.

b:
# PBE Ni6SbIr, optimized geometry
data_Ni6SbIr
_cell_length_a 7.333
_cell_length_b 10.396
_cell_length_c 10.408
_cell_angle_alpha 90.00
_cell_angle_beta 90.00
_cell_angle_gamma 90.00
_space_group_name_H-M_alt 'C m m m'
_space_group_IT_number 65
_space_group_name_Hall '-C 2 2'
loop_
_atom_site_label
_atom_site_fract_x
_atom_site_fract_y
_atom_site_fract_z
Ni1 0.000 0.000 0.000
Ni2 0.000 0.000 0.500
Ni3 0.000 0.247 0.245
Ni4 0.000 0.500 0.000
Ni5 0.000 0.500 0.500
Ni6 0.244 0.124 0.372
Ni7 0.246 0.127 0.122
Sb1 0.000 0.252 0.500
Sb2 0.000 0.500 0.247
Ir1 0.000 0.000 0.244
Ir2 0.000 0.253 0.000
# D(E_F) ... 12.64 states/eV/f.u.

Energies relative to the most stable structure, in meV per atom: a 395; b 0.

a:
# PBE NiSb2Ir, optimized geometry
data_NiSb2Ir
_cell_length_a 6.013
_cell_length_b 6.013
_cell_length_c 10.857
_cell_angle_alpha 90.00
_cell_angle_beta 90.00
_cell_angle_gamma 90.00
_space_group_name_H-M_alt 'I -4 2 d'
_space_group_IT_number 122
_space_group_name_Hall 'I -4 2bw'
loop_
_atom_site_label
_atom_site_fract_x
_atom_site_fract_y
_atom_site_fract_z
Ni1 0.000 0.000 0.000
Sb1 0.239 0.250 0.125
Ir1 0.000 0.000 0.500
# D(E_F) ... 2.31 states/eV/f.u.

b:
# PBE NiSb2Ir, optimized geometry
data_NiSb2Ir
_cell_length_a 3.110
_cell_length_b 3.899
_cell_length_c 12.453
_cell_angle_alpha 90.00
_cell_angle_beta 90.00
_cell_angle_gamma 90.00
_space_group_name_H-M_alt 'I m m 2'
_space_group_IT_number 44
_space_group_name_Hall 'I 2 -2'
loop_
_atom_site_label
_atom_site_fract_x
_atom_site_fract_y
_atom_site_fract_z
Ni1 0.000 0.000 0.000
Sb1 0.000 0.000 0.444
Sb2 0.000 0.500 0.686
Ir1 0.000 0.500 0.295
# D(E_F) ... 2.41 states/eV/f.u.

Energies relative to the most stable structure, in meV per atom: a 135; b 0.

a:
# PBE NiSb2Ir, optimized geometry
data_NiSb2Ir
_cell_length_a 6.590
_cell_length_b 6.590
_cell_length_c 6.590
_cell_angle_alpha 90.00
_cell_angle_beta 90.00
_cell_angle_gamma 90.00
_space_group_name_H-M_alt 'F m -3 m'
_space_group_IT_number 225
_space_group_name_Hall '-F 4 2 3'
loop_
_atom_site_label
_atom_site_fract_x
_atom_site_fract_y
_atom_site_fract_z
Ni1 0.000 0.000 0.000
Sb1 0.250 0.250 0.250
Ir1 0.000 0.000 0.500
# D(E_F) ... 3.47 states/eV/f.u.

b:
# PBE NiSb2Ir, optimized geometry
data_NiSb2Ir
_cell_length_a 6.552
_cell_length_b 6.551
_cell_length_c 3.355
_cell_angle_alpha 90.00
_cell_angle_beta 90.59
_cell_angle_gamma 90.00
_space_group_name_H-M_alt 'C 1 2/m 1'
_space_group_IT_number 12
_space_group_name_Hall '-C 2y'
loop_
_atom_site_label
_atom_site_fract_x
_atom_site_fract_y
_atom_site_fract_z
Ni1 0.000 0.000 0.000
Sb1 0.250 0.250 0.500
Ir1 0.000 0.500 0.000
# D(E_F) ... 2.74 states/eV/f.u.

Energies relative to the most stable structure, in meV per atom: a 0; b 42.

a:
# PBE NiSb2Ir, optimized geometry
data_NiSb2Ir
_cell_length_a 6.668
_cell_length_b 6.668
_cell_length_c 6.668
_cell_angle_alpha 90.00
_cell_angle_beta 90.00
_cell_angle_gamma 90.00
_space_group_name_H-M_alt 'F -4 3 m'
_space_group_IT_number 216
_space_group_name_Hall 'F -4 2 3'
loop_
_atom_site_label
_atom_site_fract_x
_atom_site_fract_y
_atom_site_fract_z
Ni1 0.000 0.000 0.000
Sb1 0.000 0.000 0.500
Sb2 0.250 0.250 0.250
Ir1 0.250 0.250 0.750
# D(E_F) ... 5.53 states/eV/f.u.

b:
# PBE NiSb2Ir, optimized geometry
data_NiSb2Ir
_cell_length_a 3.683
_cell_length_b 3.841
_cell_length_c 5.441
_cell_angle_alpha 90.00
_cell_angle_beta 109.50
_cell_angle_gamma 90.00
_space_group_name_H-M_alt 'P 1 m 1'
_space_group_IT_number 6
_space_group_name_Hall 'P -2y'
loop_
_atom_site_label
_atom_site_fract_x
_atom_site_fract_y
_atom_site_fract_z
Ni1 0.000 0.000 0.000
Sb1 0.246 0.000 0.502
Sb2 0.537 0.500 0.079
Ir1 0.814 0.500 0.639
# D(E_F) ... 1.77 states/eV/f.u.

Energies relative to the most stable structure, in meV per atom: a 657; b 0.